No. 1
Here is a geometry-optimized TlB2PtO6 structure from Alexandria. Energies are from PBE.

Output
Its uncorrected formation energy is -1.4193 eV per atom. The crystal system is trigonal.

Cell and atoms, written as CIF:
```
data_TlB2PtO6
_space_group_name_H-M_alt 'R -3'
_space_group_IT_number 148
_space_group_name_Hall '-R 3'
_cell_length_a 4.9136
_cell_length_b 4.9136
_cell_length_c 17.1793
_cell_angle_alpha 90.00
_cell_angle_beta 90.00
_cell_angle_gamma 120.00
loop_
_atom_site_label
_atom_site_fract_x
_atom_site_fract_y
_atom_site_fract_z
Tl1 0.0000 0.0000 0.0000
B1 0.0000 0.0000 0.2303
Pt1 0.0000 0.0000 0.5000
O1 0.0348 0.6290 0.9014
```

---

No. 2
Here is a geometry-optimized BaSc2Al structure from Alexandria. Energies are from PBE.

Output
As for the formation energy: 0.1405 eV per atom. The crystal system is trigonal.

Cell and atoms, written as CIF:
```
data_BaSc2Al
_space_group_name_H-M_alt 'R -3 m'
_space_group_IT_number 166
_space_group_name_Hall '-R 3 2"'
_cell_length_a 3.5182
_cell_length_b 3.5182
_cell_length_c 31.5220
_cell_angle_alpha 90.00
_cell_angle_beta 90.00
_cell_angle_gamma 120.00
loop_
_atom_site_label
_atom_site_fract_x
_atom_site_fract_y
_atom_site_fract_z
Ba1 0.0000 0.0000 0.0000
Sc1 0.0000 0.0000 0.2321
Al1 0.0000 0.0000 0.5000
```

---

No. 3
Here is a geometry-optimized RbGeTe2I structure from Alexandria. Energies are from PBE.

Output
Its offset from the most stable computed form is 0 meV per atom. Its uncorrected formation energy is -0.3239 eV per atom. The crystal system is tetragonal.

Cell and atoms, written as CIF:
```
data_RbGeTe2I
_space_group_name_H-M_alt 'P 4/m m m'
_space_group_IT_number 123
_space_group_name_Hall '-P 4 2'
_cell_length_a 5.522
_cell_length_b 5.522
_cell_length_c 6.272
_cell_angle_alpha 90.00
_cell_angle_beta 90.00
_cell_angle_gamma 90.00
loop_
_atom_site_label
_atom_site_fract_x
_atom_site_fract_y
_atom_site_fract_z
Rb1 0.000 0.000 0.000
Ge1 0.500 0.500 0.500
Te1 0.000 0.500 0.500
I1 0.500 0.500 0.000
```

---

No. 4
Here is a geometry-optimized LaGdSn2 structure from Alexandria. Energies are from PBE.

Output
As for the formation energy: -0.7002 eV per atom. Its offset from the most stable computed form is 17 meV per atom. The crystal system is tetragonal.

Cell and atoms, written as CIF:
```
data_LaGdSn2
_space_group_name_H-M_alt 'P 4/m m m'
_space_group_IT_number 123
_space_group_name_Hall '-P 4 2'
_cell_length_a 5.026
_cell_length_b 5.026
_cell_length_c 4.535
_cell_angle_alpha 90.00
_cell_angle_beta 90.00
_cell_angle_gamma 90.00
loop_
_atom_site_label
_atom_site_fract_x
_atom_site_fract_y
_atom_site_fract_z
La1 0.000 0.000 0.000
Gd1 0.500 0.500 0.000
Sn1 0.000 0.500 0.500
```

---

No. 5
Here is a geometry-optimized Al2Ga3I8 structure from Alexandria. Energies are from PBE.

Output
Its uncorrected formation energy is -0.4147 eV per atom. The crystal system is monoclinic.

Cell and atoms, written as CIF:
```
data_Al2Ga3I8
_space_group_name_H-M_alt 'C 1 2/m 1'
_space_group_IT_number 12
_cell_length_a 16.242
_cell_length_b 9.144
_cell_length_c 7.756
_cell_angle_alpha 90.00
_cell_angle_beta 109.13
_cell_angle_gamma 90.00
loop_
_space_group_symop_operation_xyz
'x,y,z'
'-x,-y,-z'
'-x,y,-z'
'x,-y,z'
'x+1/2,y+1/2,z'
'-x+1/2,-y+1/2,-z'
'-x+1/2,y+1/2,-z'
'x+1/2,-y+1/2,z'
loop_
_atom_site_label
_atom_site_fract_x
_atom_site_fract_y
_atom_site_fract_z
Al1 0.183 0.000 0.123
Ga1 0.000 0.248 0.500
Ga2 0.000 0.500 0.000
I1 0.128 0.000 0.766
I2 0.128 0.236 0.241
I3 0.143 0.500 0.762
```

---

No. 6
Here is a geometry-optimized TbPuInRu structure from Alexandria. Energies are from PBE.

Output
As for the formation energy: -0.2916 eV per atom. Its offset from the most stable computed form is 0 meV per atom. The crystal system is tetragonal.

Cell and atoms, written as CIF:
```
data_TbPuInRu
_space_group_name_H-M_alt 'P 4 m m'
_space_group_IT_number 99
_cell_length_a 3.330
_cell_length_b 3.330
_cell_length_c 8.390
_cell_angle_alpha 90.00
_cell_angle_beta 90.00
_cell_angle_gamma 90.00
loop_
_space_group_symop_operation_xyz
'x,y,z'
'-y,x,z'
'-x,-y,z'
'y,-x,z'
'-x,y,z'
'y,x,z'
'x,-y,z'
'-y,-x,z'
loop_
_atom_site_label
_atom_site_fract_x
_atom_site_fract_y
_atom_site_fract_z
Tb1 0.000 0.000 0.000
Pu1 0.000 0.000 0.587
In1 0.500 0.500 0.294
Ru1 0.500 0.500 0.789
```